Entry 1:
## ReCSeBr2 (PBE-GGA)

Data for crystalline ReCSeBr2 at its relaxed geometry.

Structure (POSCAR):
```
ReCSeBr2
1.0
5.1758 0.0000 0.0000
0.0000 5.1758 0.0000
0.0000 0.0000 4.7491
Re C Se Br
1 1 1 2
direct
0.0000 0.0000 0.0000
0.5000 0.5000 0.5000
0.0000 0.0000 0.5000
0.0000 0.5000 0.0000
0.5000 0.0000 0.0000
```

## Properties
The value obtained for the volume is 25.44 Å³ per atom. The calculation puts the distance to the lowest polymorph of the same formula at 0.00 eV per formula unit. The size of the total moment is 2.90 μB per formula unit. The value obtained for the uncorrected energy is -3.9778 eV per atom. Its symmetry is P4/mmm, No. 123. The uncorrected formation energy is 1.723 eV/atom.

***

Entry 2:
## ReCSeBr2 (PBE-GGA)

Data for crystalline ReCSeBr2 at its relaxed geometry.

Structure (POSCAR):
```
ReCSeBr2
1.0
4.4010 0.0000 0.0000
0.0000 4.4010 0.0000
0.0000 0.0000 4.3650
Re C Se Br
1 1 1 2
direct
0.0000 0.0000 0.0000
0.5000 0.5000 0.5000
0.5000 0.5000 0.0000
0.0000 0.5000 0.5000
0.5000 0.0000 0.5000
```

## Properties
The value obtained for the volume is 16.91 Å³ per atom. The calculation puts the distance to the lowest polymorph of the same formula at 1.62 eV per formula unit. The size of the total moment is 0.00 μB per formula unit. The value obtained for the uncorrected energy is -3.6540 eV per atom. Its symmetry is P4/mmm, No. 123. The uncorrected formation energy is 2.046 eV/atom.

***

Entry 3:
## ReTeC2Br (PBE-GGA)

Data for crystalline ReTeC2Br at its relaxed geometry.

Structure (POSCAR):
```
ReTeC2Br
1.0
3.9186 0.0000 0.0000
0.0000 3.9186 0.0000
0.0000 0.0000 7.1925
Re Te C Br
1 1 2 1
direct
0.0000 0.0000 0.0000
0.5000 0.5000 0.0000
0.0000 0.5000 0.5000
0.5000 0.0000 0.5000
0.5000 0.5000 0.5000
```

## Properties
The value obtained for the volume is 22.09 Å³ per atom. The size of the total moment is 2.98 μB per formula unit. The value obtained for the uncorrected energy is -3.8824 eV per atom. Its symmetry is P4/mmm, No. 123. The uncorrected formation energy is 3.260 eV/atom.

***

Entry 4:
## RhC2Br4 (PBE-GGA)

Data for crystalline RhC2Br4 at its relaxed geometry.

Structure (POSCAR):
```
RhC2Br4
1.0
5.5342 0.0000 0.0000
0.0000 5.5342 0.0000
0.0000 0.0000 10.7066
Rh C Br
2 4 8
direct
0.0000 0.0000 0.0000
0.5000 0.5000 0.5000
0.0000 0.0000 0.4417
0.0000 0.0000 0.5583
0.5000 0.5000 0.0583
0.5000 0.5000 0.9417
0.0000 0.0000 0.2713
0.0000 0.0000 0.7287
0.0000 0.5000 0.0000
0.0000 0.5000 0.5000
0.5000 0.0000 0.0000
0.5000 0.0000 0.5000
0.5000 0.5000 0.2287
0.5000 0.5000 0.7713
```

## Properties
The value obtained for the volume is 23.42 Å³ per atom. The size of the total moment is 1.03 μB per formula unit. The value obtained for the uncorrected energy is -3.7165 eV per atom. Its symmetry is I4/mmm, No. 139. The uncorrected formation energy is 0.925 eV/atom.

***

Entry 5:
## RhC2Br (PBE-GGA)

Data for crystalline RhC2Br at its relaxed geometry.

Structure (POSCAR):
```
RhC2Br
1.0
5.4221 0.0000 0.0000
0.0000 5.4221 0.0000
0.0000 0.0000 9.0579
Rh C Br
4 8 4
direct
0.0000 0.0000 0.0000
0.0000 0.5000 0.2500
0.5000 0.0000 0.7500
0.5000 0.5000 0.5000
0.1407 0.2500 0.1250
0.2500 0.6407 0.3750
0.2500 0.8593 0.8750
0.3593 0.2500 0.6250
0.6407 0.7500 0.6250
0.7500 0.1407 0.8750
0.7500 0.3593 0.3750
0.8593 0.7500 0.1250
0.0000 0.0000 0.5000
0.0000 0.5000 0.7500
0.5000 0.0000 0.2500
0.5000 0.5000 0.0000
```

## Properties
The value obtained for the volume is 16.64 Å³ per atom. The calculation puts the distance to the lowest polymorph of the same formula at 0.00 eV per formula unit. The size of the total moment is 0.00 μB per formula unit. The value obtained for the uncorrected energy is -5.3006 eV per atom. Its symmetry is I-42d, No. 122. The uncorrected formation energy is 1.567 eV/atom.

***

Entry 6:
## RhCBr2 (PBE-GGA)

Data for crystalline RhCBr2 at its relaxed geometry.

Structure (POSCAR):
```
RhCBr2
1.0
6.4554 0.0000 0.0000
0.0000 6.4554 0.0000
0.0000 0.0000 6.4554
Rh C Br
4 4 8
direct
0.0000 0.0000 0.0000
0.0000 0.5000 0.5000
0.5000 0.0000 0.5000
0.5000 0.5000 0.0000
0.0000 0.0000 0.5000
0.0000 0.5000 0.0000
0.5000 0.0000 0.0000
0.5000 0.5000 0.5000
0.2500 0.2500 0.2500
0.2500 0.2500 0.7500
0.2500 0.7500 0.2500
0.2500 0.7500 0.7500
0.7500 0.2500 0.2500
0.7500 0.2500 0.7500
0.7500 0.7500 0.2500
0.7500 0.7500 0.7500
```

## Properties
The value obtained for the volume is 16.81 Å³ per atom. The calculation puts the distance to the lowest polymorph of the same formula at 1.06 eV per formula unit. The size of the total moment is 0.78 μB per formula unit. The value obtained for the uncorrected energy is -3.1287 eV per atom. Its symmetry is Fm-3m, No. 225. The uncorrected formation energy is 1.852 eV/atom.

***

Entry 7:
## Rh2C2Br (PBE-GGA)

Data for crystalline Rh2C2Br at its relaxed geometry.

Structure (POSCAR):
```
Rh2C2Br
1.0
3.3083 0.0000 0.0000
0.0000 3.3083 0.0000
0.0000 0.0000 13.0039
Rh C Br
4 4 2
direct
0.0000 0.0000 0.1588
0.0000 0.0000 0.8412
0.5000 0.5000 0.3412
0.5000 0.5000 0.6588
0.0000 0.5000 0.2500
0.0000 0.5000 0.7500
0.5000 0.0000 0.2500
0.5000 0.0000 0.7500
0.0000 0.0000 0.5000
0.5000 0.5000 0.0000
```

## Properties
The value obtained for the volume is 14.23 Å³ per atom. The calculation puts the distance to the lowest polymorph of the same formula at 0.00 eV per formula unit. The size of the total moment is 0.00 μB per formula unit. The value obtained for the uncorrected energy is -6.1651 eV per atom. Its symmetry is I4/mmm, No. 139. The uncorrected formation energy is 0.800 eV/atom.

***

Entry 8:
## Rh2CBr (PBE-GGA)

Data for crystalline Rh2CBr at its relaxed geometry.

Structure (POSCAR):
```
Rh2CBr
1.0
5.1478 0.0000 0.0000
0.0000 5.1478 0.0000
0.0000 0.0000 10.3343
Rh C Br
8 4 4
direct
0.1454 0.2500 0.1250
0.2500 0.6454 0.3750
0.2500 0.8546 0.8750
0.3546 0.2500 0.6250
0.6454 0.7500 0.6250
0.7500 0.1454 0.8750
0.7500 0.3546 0.3750
0.8546 0.7500 0.1250
0.0000 0.0000 0.0000
0.0000 0.5000 0.2500
0.5000 0.0000 0.7500
0.5000 0.5000 0.5000
0.0000 0.0000 0.5000
0.0000 0.5000 0.7500
0.5000 0.0000 0.2500
0.5000 0.5000 0.0000
```

## Properties
The value obtained for the volume is 17.12 Å³ per atom. The calculation puts the distance to the lowest polymorph of the same formula at 0.00 eV per formula unit. The size of the total moment is 0.00 μB per formula unit. The value obtained for the uncorrected energy is -5.9471 eV per atom. Its symmetry is I-42d, No. 122. The uncorrected formation energy is 0.453 eV/atom.